[1]
This record from the Alexandria database describes a relaxed KBaLi2 crystal. The functional is PBE.

- V (Å³/cell) = 706.3
- energy relative to the elements (meV/atom) = 145.5
- DOS at the Fermi energy (states/eV per atom) = 0.6960
- M_tot (μB/f.u.) = 0.0
- energy relative to the lowest polymorph listed for this composition (kJ per mole of atoms) = 4.3

abc: 8.9055 8.9055 8.9055
angles: 90.00 90.00 90.00
Last column: nearest neighbours and their distance in Å.
Space group Fm-3m (No. 225)
Unique sites:
K1 0.0000 0.0000 0.0000 x4  8 Li 3.86
Ba1 0.0000 0.0000 0.5000 x4  8 Li 3.86
Li1 0.2500 0.2500 0.2500 x8  4 Ba 3.86, 4 K 3.86


[2]
This record from the Alexandria database describes a relaxed CrHgI3 crystal. The functional is PBE.

- V (Å³/cell) = 376.7
- formation energy from raw total energies (kJ/mol of atoms) = -23
- DOS at the Fermi energy (states/eV per atom) = 0.1930
- M_tot (μB/f.u.) = 3.0
- energy relative to the lowest polymorph listed for this composition (kJ per mole of atoms) = 0.0

abc: 3.9983 10.2788 10.3405
angles: 62.43 89.92 89.97
Last column: nearest neighbours and their distance in Å.
Space group P-1 (No. 2)
Unique sites:
Cr1 0.2493 0.0532 0.1451 x2  6 I 2.61-2.83
Hg1 0.2499 0.5390 0.6109 x2  2 Hg 3.40-3.41
I1 0.2490 0.2839 0.1882 x2  1 Cr 2.61
I2 0.2500 0.8229 0.0673 x2  3 Cr 2.80-2.83
I3 0.2513 0.0842 0.6582 x2  2 Cr 2.73


[3]
This record from the Alexandria database describes a relaxed RbSrHgBr5 crystal. The functional is PBE.

- V (Å³/cell) = 1331.8
- formation energy from raw total energies (kJ/mol of atoms) = -135
- DOS at the Fermi energy (states/eV per atom) = 0.0000
- M_tot (μB/f.u.) = 0.0

abc: 10.0014 13.2874 10.9601
angles: 90.00 113.88 90.00
Last column: nearest neighbours and their distance in Å.
Space group C2/c (No. 15)
Unique sites:
Rb1 0.0000 0.1553 0.2500 x4  5 Br 3.41-3.55
Sr1 0.0000 0.5000 0.0000 x4  6 Br 2.98-3.12
Hg1 0.0000 0.1828 0.7500 x4  4 Br 2.67-2.71
Br1 0.0000 0.4115 0.2500 x4  2 Sr 2.98
Br2 0.1217 0.2883 0.6141 x8  1 Hg 2.67
Br3 0.1779 0.0579 0.9423 x8  1 Hg 2.71


> DOS at the Fermi energy of number 1 (KBaLi2)?

0.6960 states/eV per atom


> Among the records above, which one has the highest DOS at the Fermi energy?

KBaLi2


> What is the V in the third record?

1331.8 Å³/cell